(1)
Sm5AgSb4: relaxed, PBE.

## Properties
- D(E_F): 0.599 states/eV/atom
- E_form (uncorrected): -0.928 eV/atom

```
data_Sm5AgSb4
_chemical_formula_sum 'Sm10 Ag2 Sb8'
_space_group_name_H-M_alt 'I 4'
_space_group_IT_number 79
_space_group_name_Hall 'I 4'
_cell_length_a 9.9672
_cell_length_b 9.9672
_cell_length_c 6.2885
_cell_angle_alpha 90.00
_cell_angle_beta 90.00
_cell_angle_gamma 90.00
loop_
_atom_site_label
_atom_site_fract_x
_atom_site_fract_y
_atom_site_fract_z
Sm1 0.0000 0.0000 0.0000
Sm2 0.1050 0.3080 0.5011
Ag1 0.0000 0.0000 0.4999
Sb1 0.1009 0.2985 0.0011
```


(2)
Sm4Ag5Sb7: relaxed, PBE.

## Properties
- D(E_F): 0.194 states/eV/atom
- E_form (uncorrected): -0.622 eV/atom

```
data_Sm4Ag5Sb7
_chemical_formula_sum 'Sm8 Ag10 Sb14'
_space_group_name_H-M_alt 'I -4 2 m'
_space_group_IT_number 121
_space_group_name_Hall 'I -4 2'
_cell_length_a 6.1145
_cell_length_b 6.1145
_cell_length_c 21.4077
_cell_angle_alpha 90.00
_cell_angle_beta 90.00
_cell_angle_gamma 90.00
loop_
_atom_site_label
_atom_site_fract_x
_atom_site_fract_y
_atom_site_fract_z
Sm1 0.2426 0.2426 0.1187
Ag1 0.0000 0.0000 0.2480
Ag2 0.0000 0.0000 0.5000
Ag3 0.0000 0.5000 0.2500
Sb1 0.0000 0.0000 0.0000
Sb2 0.0000 0.5000 0.0000
Sb3 0.2432 0.2432 0.3413
```


(3)
SmAg2Sb2: relaxed, PBE.

## Properties
- D(E_F): 0.322 states/eV/atom
- E_form (uncorrected): -0.505 eV/atom

```
data_SmAg2Sb2
_chemical_formula_sum 'Sm4 Ag8 Sb8'
_space_group_name_H-M_alt 'C m c m'
_space_group_IT_number 63
_space_group_name_Hall '-C 2c 2'
_cell_length_a 4.4132
_cell_length_b 24.6810
_cell_length_c 4.3915
_cell_angle_alpha 90.00
_cell_angle_beta 90.00
_cell_angle_gamma 90.00
loop_
_atom_site_label
_atom_site_fract_x
_atom_site_fract_y
_atom_site_fract_z
Sm1 0.0000 0.1503 0.2500
Ag1 0.0000 0.0394 0.7500
Ag2 0.0000 0.4610 0.7500
Sb1 0.0000 0.2499 0.7500
Sb2 0.0000 0.3852 0.2500
```


(4)
Sm5Ag2Sb: relaxed, PBE.

## Properties
- D(E_F): 1.071 states/eV/atom
- E_form (uncorrected): -0.417 eV/atom

```
data_Sm5Ag2Sb
_chemical_formula_sum 'Sm20 Ag8 Sb4'
_space_group_name_H-M_alt 'I 4/m c m'
_space_group_IT_number 140
_space_group_name_Hall '-I 4 2c'
_cell_length_a 8.2872
_cell_length_b 8.2872
_cell_length_c 13.3157
_cell_angle_alpha 90.00
_cell_angle_beta 90.00
_cell_angle_gamma 90.00
loop_
_atom_site_label
_atom_site_fract_x
_atom_site_fract_y
_atom_site_fract_z
Sm1 0.0000 0.0000 0.0000
Sm2 0.1554 0.3446 0.1482
Ag1 0.1328 0.3672 0.5000
Sb1 0.0000 0.0000 0.2500
```


(5)
TbSmAgSb: relaxed, PBE.

## Properties
- D(E_F): 1.222 states/eV/atom
- E_form (uncorrected): -0.568 eV/atom

```
data_TbSmAgSb
_chemical_formula_sum 'Tb4 Sm4 Ag4 Sb4'
_space_group_name_H-M_alt 'F -4 3 m'
_space_group_IT_number 216
_space_group_name_Hall 'F -4 2 3'
_cell_length_a 7.4693
_cell_length_b 7.4693
_cell_length_c 7.4693
_cell_angle_alpha 90.00
_cell_angle_beta 90.00
_cell_angle_gamma 90.00
loop_
_atom_site_label
_atom_site_fract_x
_atom_site_fract_y
_atom_site_fract_z
Tb1 0.0000 0.0000 0.0000
Sm1 0.0000 0.0000 0.5000
Ag1 0.2500 0.2500 0.7500
Sb1 0.2500 0.2500 0.2500
```


(6)
SmThAgSb: relaxed, PBE.

## Properties
- D(E_F): 1.207 states/eV/atom
- E_form (uncorrected): -0.447 eV/atom

```
data_SmThAgSb
_chemical_formula_sum 'Sm4 Th4 Ag4 Sb4'
_space_group_name_H-M_alt 'F -4 3 m'
_space_group_IT_number 216
_space_group_name_Hall 'F -4 2 3'
_cell_length_a 7.5766
_cell_length_b 7.5766
_cell_length_c 7.5766
_cell_angle_alpha 90.00
_cell_angle_beta 90.00
_cell_angle_gamma 90.00
loop_
_atom_site_label
_atom_site_fract_x
_atom_site_fract_y
_atom_site_fract_z
Sm1 0.0000 0.0000 0.0000
Th1 0.0000 0.0000 0.5000
Ag1 0.2500 0.2500 0.2500
Sb1 0.2500 0.2500 0.7500
```


(7)
AgSn2Sb: relaxed, PBE.

## Properties
- D(E_F): 0.495 states/eV/atom
- E_form (uncorrected): 0.111 eV/atom

```
data_AgSn2Sb
_chemical_formula_sum 'Ag1 Sn2 Sb1'
_space_group_name_H-M_alt 'P 4/m m m'
_space_group_IT_number 123
_space_group_name_Hall '-P 4 2'
_cell_length_a 3.4981
_cell_length_b 3.4981
_cell_length_c 8.1040
_cell_angle_alpha 90.00
_cell_angle_beta 90.00
_cell_angle_gamma 90.00
loop_
_atom_site_label
_atom_site_fract_x
_atom_site_fract_y
_atom_site_fract_z
Ag1 0.0000 0.0000 0.0000
Sn1 0.5000 0.5000 0.2292
Sb1 0.0000 0.0000 0.5000
```


(8)
AgSnSb2: relaxed, PBE.

## Properties
- D(E_F): 0.552 states/eV/atom
- E_form (uncorrected): 0.102 eV/atom

```
data_AgSnSb2
_chemical_formula_sum 'Ag4 Sn4 Sb8'
_space_group_name_H-M_alt 'I -4 2 d'
_space_group_IT_number 122
_space_group_name_Hall 'I -4 2bw'
_cell_length_a 6.5541
_cell_length_b 6.5541
_cell_length_c 12.6127
_cell_angle_alpha 90.00
_cell_angle_beta 90.00
_cell_angle_gamma 90.00
loop_
_atom_site_label
_atom_site_fract_x
_atom_site_fract_y
_atom_site_fract_z
Ag1 0.0000 0.0000 0.0000
Sn1 0.0000 0.0000 0.5000
Sb1 0.2315 0.2500 0.1250
```


(9)
AgSn2Sb: relaxed, PBE.

## Properties
- D(E_F): 0.091 states/eV/atom
- E_form (uncorrected): 0.170 eV/atom

```
data_AgSn2Sb
_chemical_formula_sum 'Ag4 Sn8 Sb4'
_space_group_name_H-M_alt 'I -4 2 d'
_space_group_IT_number 122
_space_group_name_Hall 'I -4 2bw'
_cell_length_a 6.7248
_cell_length_b 6.7248
_cell_length_c 12.1493
_cell_angle_alpha 90.00
_cell_angle_beta 90.00
_cell_angle_gamma 90.00
loop_
_atom_site_label
_atom_site_fract_x
_atom_site_fract_y
_atom_site_fract_z
Ag1 0.0000 0.0000 0.0000
Sn1 0.2280 0.2500 0.1250
Sb1 0.0000 0.0000 0.5000
```


(10)
AgSn3Sb: relaxed, PBE.

## Properties
- Relative energy among the computed polymorphs: 0.00 kcal/mol of atoms
- D(E_F): 0.667 states/eV/atom
- E_form (uncorrected): 0.398 eV/atom

```
data_AgSn3Sb
_chemical_formula_sum 'Ag1 Sn3 Sb1'
_space_group_name_H-M_alt 'P m -3 m'
_space_group_IT_number 221
_space_group_name_Hall '-P 4 2 3'
_cell_length_a 5.3522
_cell_length_b 5.3522
_cell_length_c 5.3522
_cell_angle_alpha 90.00
_cell_angle_beta 90.00
_cell_angle_gamma 90.00
loop_
_atom_site_label
_atom_site_fract_x
_atom_site_fract_y
_atom_site_fract_z
Ag1 0.0000 0.0000 0.0000
Sn1 0.0000 0.0000 0.5000
Sb1 0.5000 0.5000 0.5000
```


(11)
AgSnSb2: relaxed, PBE.

## Properties
- D(E_F): 0.474 states/eV/atom
- E_form (uncorrected): 0.120 eV/atom

```
data_AgSnSb2
_chemical_formula_sum 'Ag3 Sn3 Sb6'
_space_group_name_H-M_alt 'R 3 m'
_space_group_IT_number 160
_space_group_name_Hall 'R 3 -2"'
_cell_length_a 4.4292
_cell_length_b 4.4292
_cell_length_c 19.4496
_cell_angle_alpha 90.00
_cell_angle_beta 90.00
_cell_angle_gamma 120.00
loop_
_atom_site_label
_atom_site_fract_x
_atom_site_fract_y
_atom_site_fract_z
Ag1 0.0000 0.0000 0.0000
Sn1 0.0000 0.0000 0.1674
Sb1 0.0000 0.0000 0.4053
Sb2 0.0000 0.0000 0.5979
```


(12)
AgSn2Sb: relaxed, PBE.

## Properties
- D(E_F): 0.421 states/eV/atom
- E_form (uncorrected): 0.127 eV/atom

```
data_AgSn2Sb
_chemical_formula_sum 'Ag1 Sn2 Sb1'
_space_group_name_H-M_alt 'P 4/m m m'
_space_group_IT_number 123
_space_group_name_Hall '-P 4 2'
_cell_length_a 4.4409
_cell_length_b 4.4409
_cell_length_c 5.1688
_cell_angle_alpha 90.00
_cell_angle_beta 90.00
_cell_angle_gamma 90.00
loop_
_atom_site_label
_atom_site_fract_x
_atom_site_fract_y
_atom_site_fract_z
Ag1 0.0000 0.0000 0.0000
Sn1 0.0000 0.5000 0.5000
Sb1 0.5000 0.5000 0.0000
```


(13)
Ag5Sn12Sb3: relaxed, PBE.

## Properties
- D(E_F): 0.429 states/eV/atom
- E_form (uncorrected): 0.204 eV/atom

```
data_Ag5Sn12Sb3
_chemical_formula_sum 'Ag40 Sn96 Sb24'
_space_group_name_H-M_alt 'I a -3 d'
_space_group_IT_number 230
_space_group_name_Hall '-I 4bd 2c 3'
_cell_length_a 17.0568
_cell_length_b 17.0568
_cell_length_c 17.0568
_cell_angle_alpha 90.00
_cell_angle_beta 90.00
_cell_angle_gamma 90.00
loop_
_atom_site_label
_atom_site_fract_x
_atom_site_fract_y
_atom_site_fract_z
Ag1 0.0000 0.0000 0.0000
Ag2 0.0000 0.2500 0.3750
Sn1 0.0139 0.0694 0.6506
Sb1 0.0000 0.2500 0.1250
```


(14)
Ag3SnSb: relaxed, PBE.

## Properties
- Relative energy among the computed polymorphs: 10.02 kcal/mol of atoms
- D(E_F): 0.562 states/eV/atom
- E_form (uncorrected): 0.498 eV/atom

```
data_Ag3SnSb
_chemical_formula_sum 'Ag3 Sn1 Sb1'
_space_group_name_H-M_alt 'P m -3 m'
_space_group_IT_number 221
_space_group_name_Hall '-P 4 2 3'
_cell_length_a 5.2417
_cell_length_b 5.2417
_cell_length_c 5.2417
_cell_angle_alpha 90.00
_cell_angle_beta 90.00
_cell_angle_gamma 90.00
loop_
_atom_site_label
_atom_site_fract_x
_atom_site_fract_y
_atom_site_fract_z
Ag1 0.0000 0.0000 0.5000
Sn1 0.5000 0.5000 0.5000
Sb1 0.0000 0.0000 0.0000
```


(15)
Ag3SnSb: relaxed, PBE.

## Properties
- Relative energy among the computed polymorphs: 0.00 kcal/mol of atoms
- D(E_F): 0.374 states/eV/atom
- E_form (uncorrected): 0.063 eV/atom

```
data_Ag3SnSb
_chemical_formula_sum 'Ag6 Sn2 Sb2'
_space_group_name_H-M_alt 'P -1'
_space_group_IT_number 2
_space_group_name_Hall '-P 1'
_cell_length_a 4.4049
_cell_length_b 5.9718
_cell_length_c 8.5275
_cell_angle_alpha 80.21
_cell_angle_beta 89.71
_cell_angle_gamma 89.99
loop_
_atom_site_label
_atom_site_fract_x
_atom_site_fract_y
_atom_site_fract_z
Ag1 0.2455 0.0401 0.2745
Ag2 0.2459 0.5563 0.2659
Ag3 0.2511 0.1546 0.9189
Sn1 0.2518 0.6708 0.8897
Sb1 0.2565 0.2341 0.5604
```


(16)
AgSnSb2: relaxed, PBE.

## Properties
- D(E_F): 0.666 states/eV/atom
- E_form (uncorrected): 0.221 eV/atom

```
data_AgSnSb2
_chemical_formula_sum 'Ag3 Sn3 Sb6'
_space_group_name_H-M_alt 'R -3 m'
_space_group_IT_number 166
_space_group_name_Hall '-R 3 2"'
_cell_length_a 3.2983
_cell_length_b 3.2983
_cell_length_c 33.8826
_cell_angle_alpha 90.00
_cell_angle_beta 90.00
_cell_angle_gamma 120.00
loop_
_atom_site_label
_atom_site_fract_x
_atom_site_fract_y
_atom_site_fract_z
Ag1 0.0000 0.0000 0.0000
Sn1 0.0000 0.0000 0.5000
Sb1 0.0000 0.0000 0.0820
```


(17)
AgSn2Sb: relaxed, PBE.

## Properties
- D(E_F): 0.492 states/eV/atom
- E_form (uncorrected): 0.079 eV/atom

```
data_AgSn2Sb
_chemical_formula_sum 'Ag3 Sn6 Sb3'
_space_group_name_H-M_alt 'R -3 m'
_space_group_IT_number 166
_space_group_name_Hall '-R 3 2"'
_cell_length_a 4.1519
_cell_length_b 4.1519
_cell_length_c 21.5219
_cell_angle_alpha 90.00
_cell_angle_beta 90.00
_cell_angle_gamma 120.00
loop_
_atom_site_label
_atom_site_fract_x
_atom_site_fract_y
_atom_site_fract_z
Ag1 0.0000 0.0000 0.0000
Sn1 0.0000 0.0000 0.2553
Sb1 0.0000 0.0000 0.5000
```


(18)
Ag3Sn12Sb5: relaxed, PBE.

## Properties
- D(E_F): 0.562 states/eV/atom
- E_form (uncorrected): 0.141 eV/atom

```
data_Ag3Sn12Sb5
_chemical_formula_sum 'Ag24 Sn96 Sb40'
_space_group_name_H-M_alt 'I a -3 d'
_space_group_IT_number 230
_space_group_name_Hall '-I 4bd 2c 3'
_cell_length_a 17.2272
_cell_length_b 17.2272
_cell_length_c 17.2272
_cell_angle_alpha 90.00
_cell_angle_beta 90.00
_cell_angle_gamma 90.00
loop_
_atom_site_label
_atom_site_fract_x
_atom_site_fract_y
_atom_site_fract_z
Ag1 0.0000 0.2500 0.1250
Sn1 0.0207 0.0913 0.6513
Sb1 0.0000 0.0000 0.0000
Sb2 0.0000 0.2500 0.3750
```